Entry 1:
Density functional theory data (PBE-GGA) for AcDy2Er after structural relaxation.

Cell and atoms, written as CIF:
```
data_AcDy2Er
_cell_length_a 3.669
_cell_length_b 3.669
_cell_length_c 10.190
_cell_angle_alpha 90.00
_cell_angle_beta 90.00
_cell_angle_gamma 90.00
_space_group_name_H-M_alt 'P 1'
_space_group_IT_number 1
loop_
_space_group_symop_operation_xyz
'x,y,z'
loop_
_atom_site_label
_atom_site_fract_x
_atom_site_fract_y
_atom_site_fract_z
Dy1 0.000 0.000 0.765
Dy2 0.000 0.000 0.235
Ac1 0.500 0.500 0.500
Er1 0.500 0.500 0.000
```

Results
Its polymorph energy (0 for the lowest one) is 1 meV per atom. As for the formation energy: 0.0641 eV per atom. The crystal system is tetragonal.


Entry 2:
Density functional theory data (PBE-GGA) for Ac8DyEr2 after structural relaxation.

Cell and atoms, written as CIF:
```
data_Ac8DyEr2
_cell_length_a 5.520
_cell_length_b 8.651
_cell_length_c 10.154
_cell_angle_alpha 105.05
_cell_angle_beta 105.77
_cell_angle_gamma 90.00
_space_group_name_H-M_alt 'P 1'
_space_group_IT_number 1
loop_
_space_group_symop_operation_xyz
'x,y,z'
loop_
_atom_site_label
_atom_site_fract_x
_atom_site_fract_y
_atom_site_fract_z
Ac1 0.047 0.730 0.095
Ac2 0.861 0.808 0.722
Ac3 0.595 0.454 0.190
Ac4 0.405 0.546 0.810
Ac5 0.318 0.084 0.636
Ac6 0.139 0.192 0.278
Ac7 0.953 0.270 0.905
Ac8 0.682 0.916 0.364
Er1 0.226 0.632 0.453
Er2 0.774 0.368 0.547
Dy1 0.500 0.000 0.000
```

Results
As for the formation energy: 0.0568 eV per atom. The crystal system is monoclinic.


Entry 3:
Density functional theory data (PBE-GGA) for AcDy12Er7 after structural relaxation.

Cell and atoms, written as CIF:
```
data_AcDy12Er7
_cell_length_a 8.689
_cell_length_b 8.689
_cell_length_c 8.689
_cell_angle_alpha 87.52
_cell_angle_beta 87.52
_cell_angle_gamma 87.52
_space_group_name_H-M_alt 'P 1'
_space_group_IT_number 1
loop_
_space_group_symop_operation_xyz
'x,y,z'
loop_
_atom_site_label
_atom_site_fract_x
_atom_site_fract_y
_atom_site_fract_z
Er1 0.500 0.500 0.500
Er2 0.845 0.608 0.937
Er3 0.063 0.155 0.392
Er4 0.937 0.845 0.608
Er5 0.155 0.392 0.063
Er6 0.608 0.937 0.845
Er7 0.392 0.063 0.155
Dy1 0.378 0.864 0.505
Dy2 0.495 0.622 0.136
Dy3 0.724 0.852 0.274
Dy4 0.622 0.136 0.495
Dy5 0.726 0.276 0.148
Dy6 0.505 0.378 0.864
Dy7 0.852 0.274 0.724
Dy8 0.148 0.726 0.276
Dy9 0.136 0.495 0.622
Dy10 0.864 0.505 0.378
Dy11 0.274 0.724 0.852
Dy12 0.276 0.148 0.726
Ac1 0.000 0.000 0.000
```

Results
Its polymorph energy (0 for the lowest one) is 0 meV per atom. As for the formation energy: 0.2404 eV per atom. The crystal system is trigonal.


Entry 4:
Density functional theory data (PBE-GGA) for Ac8Dy4Er after structural relaxation.

Cell and atoms, written as CIF:
```
data_Ac8Dy4Er
_cell_length_a 11.745
_cell_length_b 11.745
_cell_length_c 8.299
_cell_angle_alpha 90.00
_cell_angle_beta 135.04
_cell_angle_gamma 120.00
_space_group_name_H-M_alt 'P 1'
_space_group_IT_number 1
loop_
_space_group_symop_operation_xyz
'x,y,z'
loop_
_atom_site_label
_atom_site_fract_x
_atom_site_fract_y
_atom_site_fract_z
Ac1 0.515 0.757 0.272
Ac2 0.999 0.242 0.242
Ac3 0.001 0.243 0.758
Ac4 0.485 0.242 0.242
Ac5 0.001 0.758 0.758
Ac6 0.485 0.243 0.728
Ac7 0.999 0.757 0.242
Ac8 0.515 0.758 0.758
Dy1 0.000 0.500 0.000
Dy2 0.500 0.000 0.000
Dy3 0.500 0.500 0.000
Dy4 0.000 0.000 0.000
Er1 0.000 0.500 0.500
```

Results
As for the formation energy: 0.3939 eV per atom. The crystal system is trigonal.


Entry 5:
Density functional theory data (PBE-GGA) for AcDyEr2 after structural relaxation.

Cell and atoms, written as CIF:
```
data_AcDyEr2
_cell_length_a 5.100
_cell_length_b 5.162
_cell_length_c 5.162
_cell_angle_alpha 90.00
_cell_angle_beta 90.00
_cell_angle_gamma 90.00
_space_group_name_H-M_alt 'P 1'
_space_group_IT_number 1
loop_
_space_group_symop_operation_xyz
'x,y,z'
loop_
_atom_site_label
_atom_site_fract_x
_atom_site_fract_y
_atom_site_fract_z
Dy1 0.500 0.500 0.500
Er1 0.000 0.500 0.000
Er2 0.000 0.000 0.500
Ac1 0.500 0.000 0.000
```

Results
Its polymorph energy (0 for the lowest one) is 0 meV per atom. As for the formation energy: 0.0673 eV per atom. The crystal system is tetragonal.


Entry 6:
Density functional theory data (PBE-GGA) for Ac2Dy2Er15 after structural relaxation.

Cell and atoms, written as CIF:
```
data_Ac2Dy2Er15
_cell_length_a 8.677
_cell_length_b 8.677
_cell_length_c 8.677
_cell_angle_alpha 83.28
_cell_angle_beta 83.28
_cell_angle_gamma 83.28
_space_group_name_H-M_alt 'P 1'
_space_group_IT_number 1
loop_
_space_group_symop_operation_xyz
'x,y,z'
loop_
_atom_site_label
_atom_site_fract_x
_atom_site_fract_y
_atom_site_fract_z
Er1 0.663 0.663 0.202
Er2 0.000 0.000 0.500
Er3 0.000 0.654 0.346
Er4 0.500 0.000 0.000
Er5 0.346 0.000 0.654
Er6 0.798 0.337 0.337
Er7 0.346 0.654 0.000
Er8 0.337 0.798 0.337
Er9 0.000 0.500 0.000
Er10 0.654 0.346 0.000
Er11 0.337 0.337 0.798
Er12 0.663 0.202 0.663
Er13 0.202 0.663 0.663
Er14 0.000 0.346 0.654
Er15 0.654 0.000 0.346
Ac1 0.887 0.887 0.887
Ac2 0.113 0.113 0.113
Dy1 0.358 0.358 0.358
Dy2 0.642 0.642 0.642
```

Results
As for the formation energy: 0.2772 eV per atom. The crystal system is trigonal.


Entry 7:
Density functional theory data (PBE-GGA) for AcDy4Er7 after structural relaxation.

Cell and atoms, written as CIF:
```
data_AcDy4Er7
_cell_length_a 5.657
_cell_length_b 6.273
_cell_length_c 21.775
_cell_angle_alpha 90.00
_cell_angle_beta 90.00
_cell_angle_gamma 90.00
_space_group_name_H-M_alt 'P 1'
_space_group_IT_number 1
loop_
_space_group_symop_operation_xyz
'x,y,z'
loop_
_atom_site_label
_atom_site_fract_x
_atom_site_fract_y
_atom_site_fract_z
Dy1 0.513 0.167 0.250
Dy2 0.013 0.333 0.333
Dy3 0.013 0.833 0.250
Dy4 0.013 0.333 0.667
Dy5 0.513 0.167 0.750
Dy6 0.013 0.833 0.750
Dy7 0.513 0.667 0.833
Dy8 0.513 0.667 0.167
Ac1 0.013 0.330 0.000
Ac2 0.513 0.670 0.500
Er1 0.013 0.833 0.086
Er2 0.513 0.677 0.000
Er3 0.513 0.164 0.086
Er4 0.013 0.332 0.831
Er5 0.013 0.836 0.586
Er6 0.013 0.332 0.169
Er7 0.513 0.167 0.414
Er8 0.513 0.668 0.669
Er9 0.013 0.833 0.914
Er10 0.513 0.668 0.331
Er11 0.013 0.323 0.500
Er12 0.513 0.167 0.586
Er13 0.013 0.836 0.414
Er14 0.513 0.164 0.914
```

Results
Its polymorph energy (0 for the lowest one) is 0 meV per atom. As for the formation energy: 0.0221 eV per atom. The crystal system is orthorhombic.


Entry 8:
Density functional theory data (PBE-GGA) for AcDyEr4 after structural relaxation.

Cell and atoms, written as CIF:
```
data_AcDyEr4
_cell_length_a 9.003
_cell_length_b 6.659
_cell_length_c 8.497
_cell_angle_alpha 109.74
_cell_angle_beta 119.32
_cell_angle_gamma 95.86
_space_group_name_H-M_alt 'P 1'
_space_group_IT_number 1
loop_
_space_group_symop_operation_xyz
'x,y,z'
loop_
_atom_site_label
_atom_site_fract_x
_atom_site_fract_y
_atom_site_fract_z
Dy1 0.691 0.941 0.883
Dy2 0.309 0.059 0.117
Ac1 0.425 0.675 0.351
Ac2 0.575 0.325 0.649
Er1 0.238 0.993 0.657
Er2 0.019 0.264 0.867
Er3 0.981 0.736 0.133
Er4 0.762 0.007 0.343
Er5 0.081 0.336 0.343
Er6 0.919 0.664 0.657
Er7 0.348 0.603 0.867
Er8 0.652 0.397 0.133
```

Results
Its polymorph energy (0 for the lowest one) is 0 meV per atom. As for the formation energy: 0.0631 eV per atom. The crystal system is monoclinic.


Entry 9:
Density functional theory data (PBE-GGA) for AcDy4Er7 after structural relaxation.

Cell and atoms, written as CIF:
```
data_AcDy4Er7
_cell_length_a 6.003
_cell_length_b 11.353
_cell_length_c 6.800
_cell_angle_alpha 82.82
_cell_angle_beta 63.81
_cell_angle_gamma 74.67
_space_group_name_H-M_alt 'P 1'
_space_group_IT_number 1
loop_
_space_group_symop_operation_xyz
'x,y,z'
loop_
_atom_site_label
_atom_site_fract_x
_atom_site_fract_y
_atom_site_fract_z
Ac1 0.000 0.000 0.000
Dy1 0.732 0.689 0.847
Dy2 0.378 0.775 0.470
Dy3 0.622 0.225 0.530
Dy4 0.268 0.311 0.153
Er1 0.784 0.919 0.513
Er2 0.361 0.514 0.764
Er3 0.954 0.357 0.735
Er4 0.639 0.486 0.236
Er5 0.500 0.000 0.000
Er6 0.046 0.643 0.265
Er7 0.216 0.081 0.487
```

Results
Its polymorph energy (0 for the lowest one) is 297 meV per atom. As for the formation energy: 0.3188 eV per atom. The crystal system is monoclinic.


Entry 10:
Density functional theory data (PBE-GGA) for AcDy2Er3 after structural relaxation.

Cell and atoms, written as CIF:
```
data_AcDy2Er3
_cell_length_a 6.724
_cell_length_b 6.724
_cell_length_c 8.999
_cell_angle_alpha 98.18
_cell_angle_beta 98.18
_cell_angle_gamma 94.80
_space_group_name_H-M_alt 'P 1'
_space_group_IT_number 1
loop_
_space_group_symop_operation_xyz
'x,y,z'
loop_
_atom_site_label
_atom_site_fract_x
_atom_site_fract_y
_atom_site_fract_z
Ac1 0.923 0.077 0.750
Ac2 0.077 0.923 0.250
Er1 0.824 0.646 0.494
Er2 0.176 0.354 0.506
Er3 0.646 0.824 0.994
Er4 0.354 0.176 0.006
Er5 0.581 0.419 0.750
Er6 0.419 0.581 0.250
Dy1 0.620 0.131 0.374
Dy2 0.869 0.380 0.126
Dy3 0.380 0.869 0.626
Dy4 0.131 0.620 0.874
```

Results
As for the formation energy: 0.1093 eV per atom. The crystal system is monoclinic.


no.,mass density (Mg/m³),total energy (eV/atom),DOS at the Fermi energy (states/eV per atom)
1,8.71,-4.40,1.658
2,8.55,-4.18,1.706
3,8.50,-4.32,1.852
4,7.65,-3.90,1.528
5,8.84,-4.39,1.726
6,8.52,-4.24,1.850
7,8.80,-4.52,1.585
8,8.90,-4.43,1.632
9,8.48,-4.22,1.820
10,8.83,-4.39,1.734